# 1
Material: CaLa2FeGe
Method: DFT, PBE
State: optimized geometry

Lattice parameters (Å, degrees): 5.823 4.605 5.823 90.00 90.00 90.00
Fractional coordinates of all 5 atoms:
Ge (0.500, 0.500, 0.500)
Ca (0.000, 0.000, 0.000)
Fe (0.000, 0.500, 0.000)
La (0.000, 0.000, 0.500)
La (0.500, 0.000, 0.000)

Computed properties:
The total DFT energy (no corrections) comes out at -3.88 eV/atom. As for the formation energy: 5.5 eV per formula unit. The calculated volume is 156.13 Å³/cell. As for the size of the total moment: 0.0000 μB/atom.

# 2
Material: Ca2Fe2Ge2N
Method: DFT, PBE
State: optimized geometry

Lattice parameters (Å, degrees): 3.985 5.881 6.967 52.33 90.00 70.22
Fractional coordinates of all 7 atoms:
Ca (0.558, 0.884, 0.828)
Ca (0.442, 0.116, 0.172)
Fe (0.810, 0.379, 0.705)
Fe (0.190, 0.621, 0.295)
Ge (0.834, 0.332, 0.389)
Ge (0.166, 0.668, 0.611)
N (0.000, 0.000, 0.000)

Computed properties:
The total DFT energy (no corrections) comes out at -6.08 eV/atom. The calculated volume is 116.82 Å³/cell. As for the size of the total moment: 0.0000 μB/atom. As for the formation energy (no corrections): -0.579 eV/atom.

# 3
Material: CaFe2GeN
Method: DFT, PBE
State: optimized geometry

Lattice parameters (Å, degrees): 3.804 5.613 6.851 90.00 90.00 109.81
Fractional coordinates of all 10 atoms:
Ca (0.453, 0.905, 0.750)
Ca (0.547, 0.095, 0.250)
Fe (0.160, 0.320, 0.941)
Fe (0.840, 0.680, 0.059)
Fe (0.160, 0.320, 0.559)
Fe (0.840, 0.680, 0.441)
Ge (0.730, 0.459, 0.750)
Ge (0.270, 0.541, 0.250)
N (0.000, 0.000, 0.000)
N (0.000, 0.000, 0.500)

Computed properties:
The total DFT energy (no corrections) comes out at -6.85 eV/atom. The calculated volume is 137.64 Å³/cell. As for the size of the total moment: 0.2213 μB/atom. As for the formation energy (no corrections): -0.475 eV/atom.

# 4
Material: Ca2FeNi3Ge4
Method: DFT, PBE
State: optimized geometry

Lattice parameters (Å, degrees): 4.043 4.043 10.052 90.00 90.00 90.00
Fractional coordinates of all 10 atoms:
Ca (0.500, 0.000, 0.249)
Ca (0.000, 0.500, 0.751)
Fe (0.500, 0.500, 0.500)
Ni (0.000, 0.000, 0.500)
Ni (0.500, 0.000, 0.869)
Ni (0.000, 0.500, 0.131)
Ge (0.500, 0.500, 0.000)
Ge (0.000, 0.000, 0.000)
Ge (0.500, 0.000, 0.627)
Ge (0.000, 0.500, 0.373)

Computed properties:
The total DFT energy (no corrections) comes out at -5.29 eV/atom. As for the formation energy: -4.7 eV per formula unit. The calculated volume is 164.34 Å³/cell. As for the size of the total moment: 0.0116 μB/atom.

# 5
Material: CaFeNiGe2
Method: DFT, PBE
State: optimized geometry

Lattice parameters (Å, degrees): 3.987 3.987 5.922 109.67 109.67 90.00
Fractional coordinates of all 5 atoms:
Ca (0.000, 0.000, 0.000)
Fe (0.750, 0.250, 0.500)
Ni (0.250, 0.750, 0.500)
Ge (0.630, 0.630, 0.259)
Ge (0.370, 0.370, 0.741)

Computed properties:
The total DFT energy (no corrections) comes out at -5.53 eV/atom. As for the formation energy: -2.2 eV per formula unit. The calculated volume is 82.80 Å³/cell. As for the size of the total moment: 0.0001 μB/atom.